Record 1
AlNi6Ru: relaxed, PBE-GGA.

Structure (POSCAR):
```
AlNi6Ru
1.0
6.221 -0.006 0.000
-2.072 5.865 0.000
0.000 0.000 10.162
Al Ru Ni
4 4 24
direct
0.751 0.249 0.750
0.500 0.500 0.998
0.500 0.500 0.502
0.249 0.751 0.750
0.750 0.250 0.250
0.000 0.000 0.503
0.000 0.000 0.998
0.250 0.750 0.250
0.875 0.625 0.124
0.000 0.000 0.250
0.250 0.750 0.999
0.000 0.000 0.750
0.625 0.874 0.874
0.126 0.375 0.874
0.625 0.875 0.124
0.375 0.126 0.626
0.250 0.750 0.501
0.625 0.874 0.626
0.875 0.625 0.376
0.375 0.125 0.376
0.375 0.125 0.124
0.874 0.625 0.874
0.125 0.375 0.124
0.375 0.126 0.874
0.874 0.625 0.626
0.500 0.500 0.250
0.625 0.875 0.376
0.750 0.250 0.999
0.500 0.500 0.750
0.125 0.375 0.376
0.750 0.250 0.501
0.126 0.375 0.626
```

Values from the calculation:
energy relative to the elements = -1.23 eV per formula unit

---

Record 2
AlSiIr: relaxed, PBE-GGA.

Structure (POSCAR):
```
AlSiIr
1.0
-0.680 3.893 1.076
-3.833 1.334 0.547
-1.345 0.879 3.767
Ir Si Al
1 1 1
direct
0.750 0.750 0.750
0.000 0.000 0.000
0.500 0.500 0.500
```

Values from the calculation:
E_form (uncorrected) = -1.842 eV/f.u.

---

Record 3
La2MgRhO6: relaxed, PBE-GGA.

Structure (POSCAR):
```
La2MgRhO6
1.0
-1.506 5.093 -2.098
-1.369 -2.405 -4.855
-8.784 -3.516 -2.231
O Mg La Rh
12 2 4 2
direct
0.476 0.161 0.752
0.976 0.839 0.748
0.710 0.248 0.453
0.205 0.338 0.454
0.024 0.161 0.252
0.290 0.752 0.547
0.295 0.338 0.954
0.705 0.662 0.046
0.524 0.839 0.248
0.790 0.248 0.953
0.210 0.752 0.047
0.795 0.662 0.546
0.500 0.500 0.500
0.000 0.500 0.000
0.548 0.739 0.751
0.048 0.261 0.749
0.952 0.739 0.251
0.452 0.261 0.249
0.500 0.000 0.000
0.000 0.000 0.500
```

Values from the calculation:
E_form (uncorrected) = -25.295 eV/f.u.

---

Record 4
Ca3CrCo: relaxed, PBE-GGA.

Structure (POSCAR):
```
Ca3CrCo
1.0
-1.584 -1.553 4.846
3.881 -3.651 0.098
3.291 3.558 2.216
Ca Cr Co
3 1 1
direct
0.500 0.000 0.000
0.000 0.000 0.500
0.000 0.500 0.000
0.500 0.500 0.500
0.000 0.000 0.000
```

Values from the calculation:
ΔE to the lowest computed polymorph = 0.0 meV per atom
energy relative to the elements = 2.74 eV per formula unit

---

Taking the records one at a time from the top gives ρ values of 8.61, 8.45, 6.56, 2.54 Mg/m³.
Taking the records one at a time from the top gives electronic total energy values of -6.12, -6.62, -7.38, -4.00 eV per atom.